(1)
Computed, not measured: a PBEsol-optimized structure of ZrInW2 at the meta-GGA SCAN level of DFT.

Cell: 3.9904 3.9904 4.4800 Å, 90.00 90.00 90.00°
Last column: nearest neighbours and their distance in Å.
Fractional coordinates of all 4 atoms:
W: 0.5000 0.0000 0.0000  4 W 2.82, 4 Zr 3.00, 4 In 3.00
W: 0.0000 0.5000 0.0000  4 W 2.82, 4 Zr 3.00, 4 In 3.00
In: 0.0000 0.0000 0.5000  4 Zr 2.82, 8 W 3.00
Zr: 0.5000 0.5000 0.5000  4 In 2.82, 8 W 3.00

## Properties
E_form (meV/atom): 243
Total DFT energy (no corrections) (eV for the cell shown): -202.488

=====

(2)
Computed, not measured: a PBEsol-optimized structure of BeSb2AsI at the meta-GGA SCAN level of DFT.

Cell: 4.8106 4.9572 4.9572 Å, 90.00 90.00 90.00°
Last column: nearest neighbours and their distance in Å.
Fractional coordinates of all 5 atoms:
I: 0.5000 0.0000 0.0000  2 Be 2.41
Be: 0.0000 0.0000 0.0000  2 I 2.41, 4 Sb 2.48
Sb: 0.0000 0.0000 0.5000  2 Be 2.48
Sb: 0.0000 0.5000 0.0000  2 Be 2.48
As: 0.5000 0.5000 0.5000  8 Sb 3.45, 4 I 3.51

## Properties
Raw formation energy (eV/atom): 0.7119
Total DFT energy (no corrections) (eV for the cell shown): -132.248

=====

(3)
Computed, not measured: a PBEsol-optimized structure of CrS3Br at the meta-GGA SCAN level of DFT.

Cell: 4.7729 4.7729 4.7729 Å, 90.00 90.00 90.00°
Last column: nearest neighbours and their distance in Å.
Fractional coordinates of all 5 atoms:
S: 0.0000 0.5000 0.0000  2 Br 2.39
S: 0.0000 0.0000 0.5000  2 Br 2.39
S: 0.5000 0.0000 0.0000  2 Br 2.39
Br: 0.0000 0.0000 0.0000  6 S 2.39
Cr: 0.5000 0.5000 0.5000  12 S 3.37

## Properties
Raw formation energy (eV/atom): 1.0385
Total DFT energy (no corrections) (eV for the cell shown): -61.536

=====

> The lowest total DFT energy (no corrections) belongs to which entry?

ZrInW2

=====

> The highest total DFT energy (no corrections) belongs to which entry?

CrS3Br

=====

Repeat the first record exactly.
Computed, not measured: a PBEsol-optimized structure of ZrInW2 at the meta-GGA SCAN level of DFT.

Cell: 3.9904 3.9904 4.4800 Å, 90.00 90.00 90.00°
Last column: nearest neighbours and their distance in Å.
Fractional coordinates of all 4 atoms:
W: 0.5000 0.0000 0.0000  4 W 2.82, 4 Zr 3.00, 4 In 3.00
W: 0.0000 0.5000 0.0000  4 W 2.82, 4 Zr 3.00, 4 In 3.00
In: 0.0000 0.0000 0.5000  4 Zr 2.82, 8 W 3.00
Zr: 0.5000 0.5000 0.5000  4 In 2.82, 8 W 3.00

## Properties
E_form (meV/atom): 243
Total DFT energy (no corrections) (eV for the cell shown): -202.488